1.
A plane-wave DFT calculation with GGA-PBE was carried out for crystalline CaTiCr2Au at its relaxed geometry.

a b c (Å): 5.1248 4.9637 5.1248
angles (deg): 90.00 90.00 90.00
Each line ends with the local moment (μB).
Atoms (fractional coordinates):
Cr 0.0000 0.0000 0.5000  3.87
Cr 0.5000 0.0000 0.0000  3.75
Ca 0.5000 0.5000 0.5000  -0.02
Au 0.0000 0.0000 0.0000  0.09
Ti 0.0000 0.5000 0.0000  -1.50

Computed properties:
Energy of formation in kJ/mol of formula units: 368
N(E_F) in states/eV/atom: 0.85
Calculated density in g/cm3: 4.95
Raw total energy in eV/atom: -5.72

2.
A plane-wave DFT calculation with GGA-PBE was carried out for crystalline Ca2Zn3CrAu12 at its relaxed geometry.

a b c (Å): 10.1815 10.1815 10.1815
angles (deg): 39.82 39.82 39.82
Each line ends with the local moment (μB).
Atoms (fractional coordinates):
Ca 0.6431 0.6431 0.6431  -0.01
Ca 0.3569 0.3569 0.3569  -0.01
Zn 0.5000 0.0000 0.0000  0.00
Zn 0.0000 0.5000 0.0000  0.00
Zn 0.0000 0.0000 0.5000  0.00
Cr 0.0000 0.0000 0.0000  3.29
Au 0.4106 0.4106 0.8168  0.01
Au 0.8898 0.8898 0.3973  0.02
Au 0.3973 0.8898 0.8898  0.02
Au 0.8168 0.4106 0.4106  0.01
Au 0.8898 0.3973 0.8898  0.02
Au 0.4106 0.8168 0.4106  0.01
Au 0.5894 0.5894 0.1832  0.01
Au 0.1102 0.1102 0.6027  0.02
Au 0.6027 0.1102 0.1102  0.02
Au 0.1832 0.5894 0.5894  0.01
Au 0.1102 0.6027 0.1102  0.02
Au 0.5894 0.1832 0.5894  0.01

Computed properties:
Energy of formation in kJ/mol of formula units: -210
N(E_F) in states/eV/atom: 0.34
Calculated density in g/cm3: 11.46
Raw total energy in eV/atom: -3.27

3.
A plane-wave DFT calculation with GGA-PBE was carried out for crystalline Cs2CaAu at its relaxed geometry.

a b c (Å): 6.7546 6.7546 6.7546
angles (deg): 60.00 60.00 60.00
Atoms (fractional coordinates):
Cs 0.2500 0.2500 0.2500
Cs 0.7500 0.7500 0.7500
Ca 0.0000 0.0000 0.0000
Au 0.5000 0.5000 0.5000

Computed properties:
Energy of formation in kJ/mol of formula units: 78
N(E_F) in states/eV/atom: 0.89
Calculated density in g/cm3: 3.83
Offset from the most stable computed form in meV/atom: 277.5
Raw total energy in eV/atom: -1.55

4.
A plane-wave DFT calculation with GGA-PBE was carried out for crystalline CsCaAu10 at its relaxed geometry.

a b c (Å): 4.5920 5.8909 9.9878
angles (deg): 90.00 90.00 90.00
Atoms (fractional coordinates):
Cs 0.0000 0.0000 0.0000
Ca 0.0000 0.5000 0.5000
Au 0.0000 0.0000 0.3414
Au 0.0000 0.5000 0.8180
Au 0.0000 0.5000 0.1820
Au 0.0000 0.0000 0.6586
Au 0.5000 0.0000 0.5000
Au 0.5000 0.5000 0.0000
Au 0.5000 0.2600 0.2654
Au 0.5000 0.7400 0.7346
Au 0.5000 0.7400 0.2654
Au 0.5000 0.2600 0.7346

Computed properties:
Energy of formation in kJ/mol of formula units: -310
N(E_F) in states/eV/atom: 0.24
Calculated density in g/cm3: 13.17
Raw total energy in eV/atom: -3.24